Density functional theory data (PBE) for an optimized crystal structure of ScCoNiBi.

Computed properties:
E above lowest polymorph: 0 meV per atom

Cell: 6.3512 6.3512 6.3512 Å, 90.00 90.00 90.00°
With the nearest neighbours (Å) after each atom.
Fractional coordinates of all 16 atoms:
Sc: 0.0000 0.0000 0.0000  4 Co 2.75, 4 Ni 2.75
Sc: 0.0000 0.5000 0.5000  4 Co 2.75, 4 Ni 2.75
Sc: 0.5000 0.0000 0.5000  4 Co 2.75, 4 Ni 2.75
Sc: 0.5000 0.5000 0.0000  4 Co 2.75, 4 Ni 2.75
Co: 0.2500 0.2500 0.7500  4 Bi 2.75, 4 Sc 2.75
Co: 0.2500 0.7500 0.2500  4 Bi 2.75, 4 Sc 2.75
Co: 0.7500 0.2500 0.2500  4 Bi 2.75, 4 Sc 2.75
Co: 0.7500 0.7500 0.7500  4 Bi 2.75, 4 Sc 2.75
Ni: 0.2500 0.2500 0.2500  4 Bi 2.75, 4 Sc 2.75
Ni: 0.2500 0.7500 0.7500  4 Bi 2.75, 4 Sc 2.75
Ni: 0.7500 0.2500 0.7500  4 Bi 2.75, 4 Sc 2.75
Ni: 0.7500 0.7500 0.2500  4 Bi 2.75, 4 Sc 2.75
Bi: 0.0000 0.0000 0.5000  4 Co 2.75, 4 Ni 2.75
Bi: 0.0000 0.5000 0.0000  4 Co 2.75, 4 Ni 2.75
Bi: 0.5000 0.0000 0.0000  4 Co 2.75, 4 Ni 2.75
Bi: 0.5000 0.5000 0.5000  4 Co 2.75, 4 Ni 2.75

Density functional theory data (PBE) for an optimized crystal structure of ScCoNiBi.

Computed properties:
E above lowest polymorph: 232 meV per atom

Cell: 6.4101 6.4101 6.4101 Å, 90.00 90.00 90.00°
With the nearest neighbours (Å) after each atom.
Fractional coordinates of all 16 atoms:
Sc: 0.0000 0.0000 0.0000  4 Bi 2.78, 4 Ni 2.78
Sc: 0.0000 0.5000 0.5000  4 Bi 2.78, 4 Ni 2.78
Sc: 0.5000 0.0000 0.5000  4 Bi 2.78, 4 Ni 2.78
Sc: 0.5000 0.5000 0.0000  4 Bi 2.78, 4 Ni 2.78
Co: 0.0000 0.0000 0.5000  4 Bi 2.78, 4 Ni 2.78
Co: 0.0000 0.5000 0.0000  4 Bi 2.78, 4 Ni 2.78
Co: 0.5000 0.0000 0.0000  4 Bi 2.78, 4 Ni 2.78
Co: 0.5000 0.5000 0.5000  4 Bi 2.78, 4 Ni 2.78
Ni: 0.2500 0.2500 0.7500  4 Co 2.78, 4 Sc 2.78
Ni: 0.2500 0.7500 0.2500  4 Co 2.78, 4 Sc 2.78
Ni: 0.7500 0.2500 0.2500  4 Co 2.78, 4 Sc 2.78
Ni: 0.7500 0.7500 0.7500  4 Co 2.78, 4 Sc 2.78
Bi: 0.2500 0.2500 0.2500  4 Co 2.78, 4 Sc 2.78
Bi: 0.2500 0.7500 0.7500  4 Co 2.78, 4 Sc 2.78
Bi: 0.7500 0.2500 0.7500  4 Co 2.78, 4 Sc 2.78
Bi: 0.7500 0.7500 0.2500  4 Co 2.78, 4 Sc 2.78

Density functional theory data (PBE) for an optimized crystal structure of CoTcNiBi.

Computed properties:
E above lowest polymorph: 0 meV per atom

Cell: 6.2251 6.2251 6.2251 Å, 90.00 90.00 90.00°
With the nearest neighbours (Å) after each atom.
Fractional coordinates of all 16 atoms:
Co: 0.0000 0.0000 0.0000  4 Ni 2.70, 4 Bi 2.70
Co: 0.0000 0.5000 0.5000  4 Ni 2.70, 4 Bi 2.70
Co: 0.5000 0.0000 0.5000  4 Ni 2.70, 4 Bi 2.70
Co: 0.5000 0.5000 0.0000  4 Ni 2.70, 4 Bi 2.70
Tc: 0.0000 0.0000 0.5000  4 Bi 2.70, 4 Ni 2.70
Tc: 0.0000 0.5000 0.0000  4 Bi 2.70, 4 Ni 2.70
Tc: 0.5000 0.0000 0.0000  4 Bi 2.70, 4 Ni 2.70
Tc: 0.5000 0.5000 0.5000  4 Bi 2.70, 4 Ni 2.70
Ni: 0.2500 0.2500 0.2500  4 Co 2.70, 4 Tc 2.70
Ni: 0.2500 0.7500 0.7500  4 Co 2.70, 4 Tc 2.70
Ni: 0.7500 0.2500 0.7500  4 Co 2.70, 4 Tc 2.70
Ni: 0.7500 0.7500 0.2500  4 Co 2.70, 4 Tc 2.70
Bi: 0.2500 0.2500 0.7500  4 Co 2.70, 4 Tc 2.70
Bi: 0.2500 0.7500 0.2500  4 Co 2.70, 4 Tc 2.70
Bi: 0.7500 0.2500 0.2500  4 Co 2.70, 4 Tc 2.70
Bi: 0.7500 0.7500 0.7500  4 Co 2.70, 4 Tc 2.70

Density functional theory data (PBE) for an optimized crystal structure of ZnCoNiBi.

Computed properties:
E above lowest polymorph: 225 meV per atom

Cell: 6.3082 6.3082 6.3082 Å, 90.00 90.00 90.00°
With the nearest neighbours (Å) after each atom.
Fractional coordinates of all 16 atoms:
Zn: 0.0000 0.0000 0.0000  4 Co 2.73, 4 Bi 2.73
Zn: 0.0000 0.5000 0.5000  4 Co 2.73, 4 Bi 2.73
Zn: 0.5000 0.0000 0.5000  4 Co 2.73, 4 Bi 2.73
Zn: 0.5000 0.5000 0.0000  4 Co 2.73, 4 Bi 2.73
Co: 0.2500 0.2500 0.2500  4 Ni 2.73, 4 Zn 2.73
Co: 0.2500 0.7500 0.7500  4 Ni 2.73, 4 Zn 2.73
Co: 0.7500 0.2500 0.7500  4 Ni 2.73, 4 Zn 2.73
Co: 0.7500 0.7500 0.2500  4 Ni 2.73, 4 Zn 2.73
Ni: 0.0000 0.0000 0.5000  4 Co 2.73, 4 Bi 2.73
Ni: 0.0000 0.5000 0.0000  4 Co 2.73, 4 Bi 2.73
Ni: 0.5000 0.0000 0.0000  4 Co 2.73, 4 Bi 2.73
Ni: 0.5000 0.5000 0.5000  4 Co 2.73, 4 Bi 2.73
Bi: 0.2500 0.2500 0.7500  4 Ni 2.73, 4 Zn 2.73
Bi: 0.2500 0.7500 0.2500  4 Ni 2.73, 4 Zn 2.73
Bi: 0.7500 0.2500 0.2500  4 Ni 2.73, 4 Zn 2.73
Bi: 0.7500 0.7500 0.7500  4 Ni 2.73, 4 Zn 2.73

Question: Look up the E above lowest polymorph of the third one.
Answer: 0 meV per atom

Question: Look up the E above lowest polymorph of the fourth one.
Answer: 225 meV per atom